--- a ---
A plane-wave DFT calculation with PBE was carried out for a geometry-optimized TlSb2ICl structure.

Cell lengths 5.8240, 5.8240, 5.9590 Å; angles 90.00, 90.00, 90.00 degrees
Last column: nearest neighbours and their distance in Å.
Fractional coordinates of all 5 atoms:
Tl: 0.0000 0.0000 0.0000  4 Sb 2.91, 2 I 2.98
Sb: 0.0000 0.5000 0.0000  2 Tl 2.91
Sb: 0.5000 0.0000 0.0000  2 Tl 2.91
I: 0.0000 0.0000 0.5000  2 Tl 2.98
Cl: 0.5000 0.5000 0.5000  4 I 4.12, 8 Sb 4.17

Summary:
- Space-group type: P4/mmm
- Size of the total moment: 1.28 Bohr magnetons per cell
- Theoretical density: 5.01 g/cm³

--- b ---
A plane-wave DFT calculation with PBE was carried out for a geometry-optimized TlSb2ICl structure.

Cell lengths 5.2092, 5.2092, 7.4459 Å; angles 90.00, 90.00, 90.00 degrees
Last column: nearest neighbours and their distance in Å.
Fractional coordinates of all 5 atoms:
Tl: 0.0000 0.0000 0.0000  4 I 3.68
Sb: 0.0000 0.5000 0.5000  2 Cl 2.60
Sb: 0.5000 0.0000 0.5000  2 Cl 2.60
I: 0.5000 0.5000 0.0000  4 Tl 3.68, 2 Cl 3.72
Cl: 0.5000 0.5000 0.5000  4 Sb 2.60

Summary:
- Space-group type: P4/mmm
- Size of the total moment: 0.00 Bohr magnetons per cell
- Theoretical density: 5.02 g/cm³

Compare the structures above. Which one is the least stable? a is.